# Dy2GaB2Rh5 | Alexandria via LeMat-Bulk | PBE | relaxed
data_Dy2GaB2Rh5
_chemical_formula_sum 'Dy4 Ga2 B4 Rh10'
_symmetry_space_group_name_H-M 'P 4/m b m'
_symmetry_Int_Tables_number 127
_symmetry_space_group_name_Hall '-P 4 2ab'
_cell_length_a 9.504
_cell_length_b 9.504
_cell_length_c 3.190
_cell_angle_alpha 90.00
_cell_angle_beta 90.00
_cell_angle_gamma 90.00
loop_
_atom_site_label
_atom_site_fract_x
_atom_site_fract_y
_atom_site_fract_z
Dy1 0.176 0.324 0.000
Ga1 0.000 0.000 0.000
B1 0.123 0.623 0.000
Rh1 0.000 0.500 0.500
Rh2 0.070 0.781 0.500
# Fermi-level density of states ... 3.11 states/eV/f.u.
# Size of the total moment ... 0.00 μB per cell
# Electronic total energy ... -0.2597 hartree per atom